Density functional theory data (PBE-GGA) for a relaxed Ba2EuAl crystal. Values from VASP.

Calculated values
ΔH_f (0 K) (eV per atom): 0.470
Energy above the lowest structure with this stoichiometry (eV per atom): 0.4790

The structure in Quantum ESPRESSO input format:
```
&SYSTEM
  ibrav = 0, nat = 4, ntyp = 3
/
ATOMIC_SPECIES
Al 26.98 Al.upf
Ba 137.33 Ba.upf
Eu 151.96 Eu.upf
CELL_PARAMETERS angstrom
-1.615 -0.733 -3.610
-3.206 -2.408 -0.317
-9.929 9.835 0.205
ATOMIC_POSITIONS crystal
Al 0.000 0.000 0.000
Ba 0.917 0.917 0.250
Ba 0.083 0.083 0.750
Eu 0.500 0.500 0.500
```